Record 1
Sm2DyUP4, optimized geometry, DFT GGA-PBE; crystal system = monoclinic; total magnetization = 2.04 μB/cell; uncorrected energy = -7.3039 eV per atom; space-group type = P2/m
1.0
6.975 0.000 0.000
0.000 4.021 0.000
-2.298 0.000 6.604
Sm Dy U P
2 1 1 4
Direct
0.000 0.000 0.000 Sm
0.500 0.500 0.000 Sm
0.000 0.500 0.500 Dy
0.500 0.000 0.500 U
0.253 0.000 0.739 P
0.258 0.500 0.262 P
0.742 0.500 0.738 P
0.747 0.000 0.261 P

Record 2
Mg2TeBr2, optimized geometry, DFT GGA-PBE; crystal system = monoclinic; polymorph energy (0 for the lowest one) = 0.0000 eV per atom; total magnetization = 0.00 μB/cell; space-group type = C2/m
1.0
3.515 -2.030 0.000
3.515 2.030 0.000
-0.105 0.000 10.535
Mg Te Br
2 1 2
Direct
0.169 0.169 0.169 Mg
0.831 0.831 0.831 Mg
0.500 0.500 0.000 Te
0.162 0.162 0.695 Br
0.838 0.838 0.305 Br

Record 3
GdCuSnRh, optimized geometry, DFT GGA-PBE; crystal system = cubic; total magnetization = 7.21 μB/cell; uncorrected energy = -7.8934 eV per atom; space-group type = F-43m
1.0
0.000 3.357 3.357
3.357 0.000 3.357
3.357 3.357 0.000
Gd Cu Sn Rh
1 1 1 1
Direct
0.000 0.000 0.000 Gd
0.250 0.250 0.250 Cu
0.500 0.500 0.500 Sn
0.750 0.750 0.750 Rh

Record 4
LiTb3Fe, optimized geometry, DFT GGA-PBE; crystal system = cubic; total magnetization = 0.00 μB/cell; uncorrected energy = -4.7182 eV per atom; space-group type = Pm-3m
1.0
5.232 0.000 0.000
0.000 5.232 0.000
0.000 0.000 5.232
Li Tb Fe
1 3 1
Direct
0.000 0.000 0.000 Li
0.000 0.500 0.500 Tb
0.500 0.000 0.500 Tb
0.500 0.500 0.000 Tb
0.500 0.500 0.500 Fe

Record 5
DyTmSnPb, optimized geometry, DFT GGA-PBE; crystal system = cubic; total magnetization = 0.00 μB/cell; uncorrected energy = -4.6336 eV per atom; space-group type = F-43m
1.0
0.000 3.803 3.803
3.803 0.000 3.803
3.803 3.803 0.000
Dy Tm Sn Pb
1 1 1 1
Direct
0.000 0.000 0.000 Dy
0.500 0.500 0.500 Tm
0.750 0.750 0.750 Sn
0.250 0.250 0.250 Pb

Record 6
Al2InAu4, optimized geometry, DFT GGA-PBE; crystal system = monoclinic; total magnetization = 0.00 μB/cell; uncorrected energy = -3.5562 eV per atom; space-group type = C2/c
1.0
2.560 -3.691 0.000
2.560 3.691 0.000
-2.108 0.000 14.237
Al In Au
4 2 8
Direct
0.086 0.742 0.926 Al
0.258 0.914 0.574 Al
0.742 0.086 0.426 Al
0.914 0.258 0.074 Al
0.488 0.512 0.250 In
0.512 0.488 0.750 In
0.080 0.725 0.391 Au
0.128 0.872 0.750 Au
0.275 0.920 0.109 Au
0.500 0.500 0.000 Au
0.500 0.500 0.500 Au
0.725 0.080 0.891 Au
0.872 0.128 0.250 Au
0.920 0.275 0.609 Au

Look up the total magnetization of the first one. 2.04 μB/cell

What did the fourth record say?
LiTb3Fe, optimized geometry, DFT GGA-PBE; crystal system = cubic; total magnetization = 0.00 μB/cell; uncorrected energy = -4.7182 eV per atom; space-group type = Pm-3m
1.0
5.232 0.000 0.000
0.000 5.232 0.000
0.000 0.000 5.232
Li Tb Fe
1 3 1
Direct
0.000 0.000 0.000 Li
0.000 0.500 0.500 Tb
0.500 0.000 0.500 Tb
0.500 0.500 0.000 Tb
0.500 0.500 0.500 Fe

total magnetization of number 3 (GdCuSnRh)? 7.21 μB/cell